Compound: VGeAsBr
Source: Alexandria
Functional: PBE
Structure: relaxed

Cell and atoms, written as CIF:
```
data_VGeAsBr
_chemical_formula_sum 'V1 Ge1 As1 Br1'
_space_group_name_H-M_alt 'P 1'
_space_group_IT_number 1
_cell_length_a 3.258
_cell_length_b 3.266
_cell_length_c 9.718
_cell_angle_alpha 98.94
_cell_angle_beta 90.58
_cell_angle_gamma 119.72
loop_
_space_group_symop_operation_xyz
'x,y,z'
loop_
_atom_site_label
_atom_site_type_symbol
_atom_site_fract_x
_atom_site_fract_y
_atom_site_fract_z
V1 V 0.000 0.000 0.000
Ge1 Ge 0.521 0.063 0.571
As1 As 0.609 0.228 0.833
Br1 Br 0.728 0.446 0.177
```

Properties
V ... 88 Å³/cell
ρ ... 5.2 g/cm3
Uncorrected formation energy ... -186 meV/atom